No. 1
Computed, not measured: crystalline Dy12Cu3H5 at its relaxed geometry at the GGA-PBE level of DFT.

Calculated values
The magnetic moment is 0.0000 μB/atom. For the density of states at the Fermi level, the calculation gives 72.9 states/eV/cell. The total energy comes out at -4.427 eV per atom. The space group is Ia-3d (230).

Geometry as POSCAR:
```
Dy12Cu3H5
1.0
-7.543 7.543 7.543
7.543 -7.543 7.543
7.543 7.543 -7.543
Dy Cu H
48 12 20
Direct
0.021 0.212 0.115
0.021 0.309 0.906
0.094 0.615 0.403
0.094 0.979 0.691
0.097 0.712 0.691
0.097 0.885 0.406
0.115 0.021 0.212
0.115 0.594 0.903
0.191 0.212 0.597
0.191 0.479 0.594
0.212 0.115 0.021
0.212 0.597 0.191
0.288 0.309 0.903
0.288 0.479 0.385
0.309 0.903 0.288
0.309 0.906 0.021
0.385 0.288 0.479
0.385 0.597 0.906
0.403 0.094 0.615
0.403 0.809 0.788
0.406 0.097 0.885
0.406 0.809 0.521
0.479 0.385 0.288
0.479 0.594 0.191
0.521 0.406 0.809
0.521 0.615 0.712
0.594 0.191 0.479
0.594 0.903 0.115
0.597 0.191 0.212
0.597 0.906 0.385
0.615 0.403 0.094
0.615 0.712 0.521
0.691 0.094 0.979
0.691 0.097 0.712
0.712 0.521 0.615
0.712 0.691 0.097
0.788 0.403 0.809
0.788 0.885 0.979
0.809 0.521 0.406
0.809 0.788 0.403
0.885 0.406 0.097
0.885 0.979 0.788
0.903 0.115 0.594
0.903 0.288 0.309
0.906 0.021 0.309
0.906 0.385 0.597
0.979 0.691 0.094
0.979 0.788 0.885
0.125 0.250 0.375
0.125 0.375 0.750
0.250 0.375 0.125
0.250 0.875 0.625
0.375 0.125 0.250
0.375 0.750 0.125
0.625 0.250 0.875
0.625 0.875 0.750
0.750 0.125 0.375
0.750 0.625 0.875
0.875 0.625 0.250
0.875 0.750 0.625
0.000 0.000 0.000
0.000 0.000 0.500
0.000 0.500 0.000
0.000 0.500 0.500
0.125 0.750 0.875
0.125 0.875 0.250
0.250 0.125 0.875
0.250 0.625 0.375
0.375 0.250 0.625
0.375 0.625 0.750
0.500 0.000 0.000
0.500 0.000 0.500
0.500 0.500 0.000
0.500 0.500 0.500
0.625 0.375 0.250
0.625 0.750 0.375
0.750 0.375 0.625
0.750 0.875 0.125
0.875 0.125 0.750
0.875 0.250 0.125
```

No. 2
Computed, not measured: crystalline ZrAsCl2 at its relaxed geometry at the GGA-PBE level of DFT.

Calculated values
The magnetic moment is 0.0920 μB/atom. For the relative energy among the computed polymorphs, the calculation gives 0.663 eV per atom. For the density of states at the Fermi level, the calculation gives 3.3 states/eV/cell. The total energy comes out at -4.626 eV per atom. The space group is Pmmm (47).

Geometry as POSCAR:
```
ZrAsCl2
1.0
3.178 0.000 0.000
0.000 4.611 0.000
0.000 0.000 5.328
Zr As Cl
1 1 2
Direct
0.000 0.000 0.000
0.500 0.000 0.500
0.000 0.500 0.500
0.500 0.500 0.000
```

No. 3
Computed, not measured: crystalline KRu2Pt at its relaxed geometry at the GGA-PBE level of DFT.

Calculated values
The magnetic moment is 0.0000 μB/atom. For the relative energy among the computed polymorphs, the calculation gives 0.147 eV per atom. For the density of states at the Fermi level, the calculation gives 3.1 states/eV/cell. The total energy comes out at -5.840 eV per atom. The space group is Cm (8). Its formation energy is 0.583 eV per atom.

Geometry as POSCAR:
```
KRu2Pt
1.0
4.313 -1.353 0.000
4.313 1.353 0.000
-0.546 0.000 7.148
K Ru Pt
1 2 1
Direct
0.000 0.000 0.000
0.232 0.232 0.642
0.492 0.492 0.519
0.762 0.762 0.323
```